Below is HfScCu5 after structural relaxation, with properties calculated at the PBE level.

Cell lengths 8.1746, 4.8668, 10.5707 Å; angles 90.00, 90.00, 90.00 degrees
Closest atoms and distances in Å follow each position.
Fractional coordinates of all 28 atoms:
Hf (0.1447, 0.2500, 0.1438)  10 Cu 2.66-2.90
Hf (0.3553, 0.7500, 0.6438)  10 Cu 2.66-2.90
Hf (0.6447, 0.2500, 0.3562)  10 Cu 2.66-2.90
Hf (0.8553, 0.7500, 0.8562)  10 Cu 2.66-2.90
Sc (0.2470, 0.2500, 0.4412)  10 Cu 2.79-3.11
Sc (0.2530, 0.7500, 0.9412)  10 Cu 2.79-3.11
Sc (0.7470, 0.2500, 0.0588)  10 Cu 2.79-3.11
Sc (0.7530, 0.7500, 0.5588)  10 Cu 2.79-3.11
Cu (0.0374, 0.2500, 0.9063)  4 Cu 2.61-2.64, 3 Hf 2.66-2.90, 1 Sc 2.87
Cu (0.0613, 0.5025, 0.6888)  7 Cu 2.41-2.61
Cu (0.0613, 0.9975, 0.6888)  7 Cu 2.41-2.61
Cu (0.0889, 0.7500, 0.4824)  5 Cu 2.49-2.51, 1 Hf 2.77, 2 Sc 2.79
Cu (0.2001, 0.7500, 0.2629)  7 Cu 2.43-2.64
Cu (0.2999, 0.2500, 0.7629)  7 Cu 2.43-2.64
Cu (0.4111, 0.2500, 0.9824)  5 Cu 2.49-2.51, 1 Hf 2.77, 2 Sc 2.79
Cu (0.4387, 0.0025, 0.1888)  7 Cu 2.41-2.61
Cu (0.4387, 0.4975, 0.1888)  7 Cu 2.41-2.61
Cu (0.4626, 0.7500, 0.4063)  4 Cu 2.61-2.64, 3 Hf 2.66-2.90, 1 Sc 2.87
Cu (0.5374, 0.2500, 0.5937)  4 Cu 2.61-2.64, 3 Hf 2.66-2.90, 1 Sc 2.87
Cu (0.5613, 0.5025, 0.8112)  7 Cu 2.41-2.61
Cu (0.5613, 0.9975, 0.8112)  7 Cu 2.41-2.61
Cu (0.5889, 0.7500, 0.0176)  5 Cu 2.49-2.51, 1 Hf 2.77, 2 Sc 2.79
Cu (0.7001, 0.7500, 0.2371)  7 Cu 2.43-2.64
Cu (0.7999, 0.2500, 0.7371)  7 Cu 2.43-2.64
Cu (0.9111, 0.2500, 0.5176)  5 Cu 2.49-2.51, 1 Hf 2.77, 2 Sc 2.79
Cu (0.9387, 0.0025, 0.3112)  7 Cu 2.41-2.61
Cu (0.9387, 0.4975, 0.3112)  7 Cu 2.41-2.61
Cu (0.9626, 0.7500, 0.0937)  4 Cu 2.61-2.64, 3 Hf 2.66-2.90, 1 Sc 2.87

Calculated values
* space-group type: Pnma (62)
* formation energy: -0.1488 eV per atom